Density functional theory data (GGA-PBE) for crystalline CaSi2Pt at its relaxed geometry.

Computed properties:
Fermi-level density of states	0.704	states/eV per cell
volume	21.518	A^3/atom
raw formation energy	-15.41	kcal/mol of atoms
size of the total moment	0.000	μB/cell

Cell: 4.125 4.360 4.786 Å, 88.98 90.00 90.00°
Positions (direct):
Pt 0.500 0.750 0.750
Ca 0.500 0.250 0.250
Si 0.000 0.740 0.490
Si 0.000 0.760 0.010